1.
# KCuAsSe2, relaxed, DFT PBE
# Relative energy among the computed polymorphs, meV/atom: 0.0
# Formation energy from raw total energies, eV per formula unit: -1.6
# Density, g/cm³: 4.0
data_KCuAsSe2
_cell_length_a 5.3080
_cell_length_b 7.3487
_cell_length_c 7.1717
_cell_angle_alpha 99.93
_cell_angle_beta 90.00
_cell_angle_gamma 90.00
_space_group_name_H-M_alt 'P 1'
_space_group_IT_number 1
loop_
_space_group_symop_operation_xyz
'x,y,z'
loop_
_atom_site_label
_atom_site_type_symbol
_atom_site_fract_x
_atom_site_fract_y
_atom_site_fract_z
K1 K 0.2105 0.5000 0.7500
K2 K 0.7895 0.5000 0.2500
Cu1 Cu 0.0000 0.0000 0.0000
Cu2 Cu 0.0000 0.0000 0.5000
As1 As 0.6471 0.0000 0.2500
As2 As 0.3529 0.0000 0.7500
Se1 Se 0.7007 0.7760 0.9102
Se2 Se 0.7007 0.2240 0.5898
Se3 Se 0.2993 0.7760 0.4102
Se4 Se 0.2993 0.2240 0.0898



2.
# HoZrSb2, relaxed, DFT PBE
# Relative energy among the computed polymorphs, meV/atom: 37.9
# Formation energy from raw total energies, eV per formula unit: -3.2
# Density, g/cm³: 7.6
data_HoZrSb2
_cell_length_a 4.1555
_cell_length_b 4.1555
_cell_length_c 7.7014
_cell_angle_alpha 74.35
_cell_angle_beta 74.35
_cell_angle_gamma 60.00
_space_group_name_H-M_alt 'P 1'
_space_group_IT_number 1
loop_
_space_group_symop_operation_xyz
'x,y,z'
loop_
_atom_site_label
_atom_site_type_symbol
_atom_site_fract_x
_atom_site_fract_y
_atom_site_fract_z
Ho1 Ho 0.6696 0.6696 0.9913
Zr1 Zr 0.4980 0.4980 0.5060
Sb1 Sb 0.0862 0.0862 0.7415
Sb2 Sb 0.2463 0.2463 0.2612